Crystalline Mo2AsPt at its relaxed geometry, computed with PBE.

Density of states at the Fermi level = 3.53 states/eV/f.u.
Total magnetization = 0.00 μB/f.u.
Space-group type = Cmm2 (35)
Formation energy = 0.106 eV/atom

abc: 2.795 2.795 8.604
angles: 90.00 90.00 103.93
Positions (direct):
As 0.500 0.500 0.760
Mo 0.500 0.500 0.249
Pt 0.000 0.000 0.488
Mo 0.000 0.000 0.003